CdCuIrO6 after structural relaxation. Source: Alexandria via LeMat-Bulk, functional GGA-PBE.

Calculated values
ΔE_f (raw): -0.55 eV per atom
total magnetization: 0.68 μB/f.u.
E_tot: -97.2 eV for the cell shown

Cell lengths 5.172, 5.172, 9.452 Å; angles 90.00, 90.00, 120.00 degrees
Each line ends with the local moment (μB).
Element x y z (fractional)
Cd 0.000 0.000 0.500  0.01
Cd 0.000 0.000 0.000  0.01
O 0.627 0.635 0.139  0.06
O 0.008 0.373 0.139  0.06
O 0.373 0.008 0.639  0.06
O 0.365 0.373 0.361  0.06
O 0.008 0.635 0.361  0.06
O 0.373 0.365 0.861  0.06
O 0.635 0.008 0.861  0.06
O 0.992 0.627 0.861  0.06
O 0.635 0.627 0.639  0.06
O 0.365 0.992 0.139  0.06
O 0.627 0.992 0.361  0.06
O 0.992 0.365 0.639  0.06
Ir 0.667 0.333 0.750  -0.17
Ir 0.333 0.667 0.250  -0.17
Cu 0.667 0.333 0.250  0.42
Cu 0.333 0.667 0.750  0.42